DFT (PBE) results for a relaxed In2HgMo crystal.

Summary:
Energy in eV per cell: -15.141
N(E_F) in states/eV/cell: 1.35
Calculated formation energy in eV/atom: 0.3672
Space group: I-4m2 (119)

Lattice parameters (Å, degrees): 5.6128 5.6128 5.6128 137.15 137.16 62.19
Closest atoms and distances in Å follow each position.
Sites, in units of the cell vectors:
Hg 0.2499 0.7499 0.5000  8 In 2.90-3.16, 4 Mo 3.16
In 0.0000 0.0000 0.0000  4 Mo 2.90, 4 Hg 3.16, 4 In 3.16
In 0.7501 0.2501 0.5000  4 Hg 2.90, 4 Mo 3.16, 4 In 3.16
Mo 0.5000 0.5000 0.0000  8 In 2.90-3.16, 4 Hg 3.16

DFT (PBE) results for a relaxed Ce3Ge6Pd2Ru crystal.

Summary:
Energy in eV per cell: -70.632
N(E_F) in states/eV/cell: 15.82
Calculated formation energy in eV/atom: -0.4554
Space group: P-3m1 (164)

Lattice parameters (Å, degrees): 6.0513 6.0513 7.7067 90.00 90.00 120.00
Closest atoms and distances in Å follow each position.
Sites, in units of the cell vectors:
Ce 0.3333 0.6667 0.6466  1 Pd 2.85, 9 Ge 3.06-3.09
Ce 0.6667 0.3333 0.3534  1 Pd 2.85, 9 Ge 3.06-3.09
Ce 0.0000 0.0000 0.0000  6 Ge 3.02
Ge 0.6239 0.8119 0.2975  1 Ru 2.51, 2 Ge 2.64, 1 Pd 2.65
Ge 0.1881 0.3761 0.2975  1 Ru 2.51, 2 Ge 2.64, 1 Pd 2.65
Ge 0.1881 0.8119 0.2975  1 Ru 2.51, 2 Ge 2.64, 1 Pd 2.65
Ge 0.8119 0.6239 0.7025  1 Ru 2.51, 2 Ge 2.64, 1 Pd 2.65
Ge 0.3761 0.1881 0.7025  1 Ru 2.51, 2 Ge 2.64, 1 Pd 2.65
Ge 0.8119 0.1881 0.7025  1 Ru 2.51, 2 Ge 2.64, 1 Pd 2.65
Pd 0.6667 0.3333 0.9836  3 Ge 2.65, 1 Ce 2.85
Pd 0.3333 0.6667 0.0164  3 Ge 2.65, 1 Ce 2.85
Ru 0.0000 0.0000 0.5000  6 Ge 2.51

DFT (PBE) results for a relaxed CoPtIBr2 crystal.

Summary:
ΔE_f (raw) in meV per atom: 1271
Energy in eV per cell: -11.687
N(E_F) in states/eV/cell: 8.66
Space group: P4/mmm (123)

Lattice parameters (Å, degrees): 5.8897 4.9841 5.8897 90.00 90.00 90.00
Closest atoms and distances in Å follow each position.
Sites, in units of the cell vectors:
I 0.0000 0.0000 0.0000  2 Pt 2.49
Co 0.5000 0.5000 0.5000  8 Br 3.86, 4 Pt 4.16
Br 0.0000 0.0000 0.5000  2 I 2.94
Br 0.5000 0.0000 0.0000  2 I 2.94
Pt 0.0000 0.5000 0.0000  2 I 2.49

DFT (PBE) results for a relaxed CoOsI2 crystal.

Summary:
ΔE_f (raw) in meV per atom: 1061
Energy in eV per cell: -34.381
N(E_F) in states/eV/cell: 10.55
Space group: I-42d (122)

Lattice parameters (Å, degrees): 5.9092 5.9092 7.0737 65.31 65.31 90.00
Closest atoms and distances in Å follow each position.
Sites, in units of the cell vectors:
I 0.6109 0.1250 0.2500  2 Co 2.48, 2 Os 2.58
I 0.1391 0.6250 0.2500  2 Co 2.48, 2 Os 2.58
I 0.3750 0.3891 0.7500  2 Co 2.48, 2 Os 2.58
I 0.8750 0.8609 0.7500  2 Co 2.48, 2 Os 2.58
Co 0.5000 0.5000 0.0000  4 I 2.48
Co 0.2500 0.7500 0.5000  4 I 2.48
Os 0.0000 0.0000 0.0000  4 I 2.58
Os 0.7500 0.2500 0.5000  4 I 2.58

DFT (PBE) results for a relaxed Ag2Pd2Au crystal.

Summary:
Energy in eV per cell: -37.668
N(E_F) in states/eV/cell: 5.73
Calculated formation energy in eV/atom: 0.1063
Space group: C2/c (15)

Lattice parameters (Å, degrees): 7.4055 4.6528 6.9420 70.03 122.23 90.00
Closest atoms and distances in Å follow each position.
Sites, in units of the cell vectors:
Ag 0.2748 0.0660 0.3646  3 Ag 2.70-2.75, 1 Au 2.79, 3 Pd 2.82-2.92
Ag 0.9103 0.4340 0.6354  3 Ag 2.70-2.75, 1 Au 2.79, 3 Pd 2.82-2.92
Ag 0.7252 0.9340 0.6354  3 Ag 2.70-2.75, 1 Au 2.79, 3 Pd 2.82-2.92
Ag 0.0897 0.5660 0.3646  3 Ag 2.70-2.75, 1 Au 2.79, 3 Pd 2.82-2.92
Pd 0.5466 0.3869 0.7303  2 Pd 2.68-2.90, 3 Au 2.76-2.78, 3 Ag 2.82-2.92
Pd 0.1837 0.8869 0.7303  2 Pd 2.68-2.90, 3 Au 2.76-2.78, 3 Ag 2.82-2.92
Pd 0.4534 0.6131 0.2697  2 Pd 2.68-2.90, 3 Au 2.76-2.78, 3 Ag 2.82-2.92
Pd 0.8163 0.1131 0.2697  2 Pd 2.68-2.90, 3 Au 2.76-2.78, 3 Ag 2.82-2.92
Au 0.6389 0.7500 0.0000  6 Pd 2.76-2.78, 2 Ag 2.79
Au 0.3611 0.2500 0.0000  6 Pd 2.76-2.78, 2 Ag 2.79

DFT (PBE) results for a relaxed La6HoEr2Sc crystal.

Summary:
Energy in eV per cell: -47.708
N(E_F) in states/eV/cell: 17.84
Calculated formation energy in eV/atom: 0.1891
Space group: C2/m (12)

Lattice parameters (Å, degrees): 8.8335 7.1217 6.7302 121.94 103.79 90.00
Closest atoms and distances in Å follow each position.
Sites, in units of the cell vectors:
La 0.4316 0.6361 0.2722  5 La 3.64-3.69, 1 Ho 3.69, 1 Er 3.97, 3 Sc 4.00-4.03
La 0.2040 0.0464 0.6481  2 La 3.17-3.55, 1 Sc 3.23, 2 Er 3.29-3.48
La 0.7960 0.3984 0.3519  2 La 3.17-3.55, 1 Sc 3.23, 2 Er 3.29-3.48
La 0.2040 0.6016 0.6481  2 La 3.17-3.55, 1 Sc 3.23, 2 Er 3.29-3.48
La 0.7960 0.9536 0.3519  2 La 3.17-3.55, 1 Sc 3.23, 2 Er 3.29-3.48
La 0.5684 0.3639 0.7278  5 La 3.64-3.69, 1 Ho 3.69, 1 Er 3.97, 3 Sc 4.00-4.03
Ho 0.0000 0.5000 0.0000  10 La 3.64-3.96, 4 Er 3.91
Er 0.1769 0.0889 0.1777  1 Er 3.21, 1 Sc 3.29, 4 La 3.29-3.48
Er 0.8231 0.9111 0.8223  1 Er 3.21, 1 Sc 3.29, 4 La 3.29-3.48
Sc 0.5000 0.0000 0.0000  4 La 3.23, 2 Er 3.29

DFT (PBE) results for a relaxed La6Co2OsBr3 crystal.

Summary:
ΔE_f (raw) in meV per atom: -834
Energy in eV per cell: -70.038
N(E_F) in states/eV/cell: 5.40
Space group: C2/m (12)

Lattice parameters (Å, degrees): 4.1139 9.2376 10.0772 111.98 101.78 90.00
Closest atoms and distances in Å follow each position.
Sites, in units of the cell vectors:
La 0.3449 0.8851 0.6898  1 Os 2.83, 2 Co 2.84
La 0.6815 0.5518 0.3630  3 Co 2.70-2.81
La 0.6551 0.1149 0.3102  1 Os 2.83, 2 Co 2.84
La 0.0132 0.2228 0.0264  2 Os 2.85, 1 Co 2.87
La 0.9868 0.7772 0.9736  2 Os 2.85, 1 Co 2.87
La 0.3185 0.4482 0.6370  3 Co 2.70-2.81
Co 0.8294 0.6628 0.6588  6 La 2.70-2.87
Co 0.1706 0.3372 0.3412  6 La 2.70-2.87
Os 0.5000 0.0000 0.0000  6 La 2.83-2.85
Br 0.5000 0.5000 0.0000  6 La 3.37-3.43
Br 0.8341 0.1673 0.6682  6 La 3.37-3.42
Br 0.1659 0.8327 0.3318  6 La 3.37-3.42

DFT (PBE) results for a relaxed TbTl3Sb2O6 crystal.

Summary:
ΔE_f (raw) in meV per atom: -1553
Energy in eV per cell: -68.354
N(E_F) in states/eV/cell: 0.00
Space group: P-3m1 (164)

Lattice parameters (Å, degrees): 6.1982 6.1982 7.3857 90.00 90.00 120.00
Closest atoms and distances in Å follow each position.
Sites, in units of the cell vectors:
Tb 0.0000 0.0000 0.5000  6 O 2.29
Tl 0.3333 0.6667 0.6555  9 O 3.02-3.11
Tl 0.6667 0.3333 0.3445  9 O 3.02-3.11
Tl 0.0000 0.0000 0.0000  6 O 3.00
Sb 0.6667 0.3333 0.8108  3 O 1.97
Sb 0.3333 0.6667 0.1892  3 O 1.97
O 0.6532 0.8266 0.3191  1 Sb 1.97
O 0.1734 0.3468 0.3191  1 Sb 1.97
O 0.1734 0.8266 0.3191  1 Sb 1.97
O 0.8266 0.6532 0.6809  1 Sb 1.97
O 0.3468 0.1734 0.6809  1 Sb 1.97
O 0.8266 0.1734 0.6809  1 Sb 1.97

DFT (PBE) results for a relaxed YTe3Os crystal.

Summary:
ΔE_f (raw) in meV per atom: 230
Energy in eV per cell: -25.967
N(E_F) in states/eV/cell: 6.76
Space group: Pm-3m (221)

Lattice parameters (Å, degrees): 5.2534 5.2534 5.2534 90.00 90.00 90.00
Closest atoms and distances in Å follow each position.
Sites, in units of the cell vectors:
Y 0.5000 0.5000 0.5000  12 Te 3.71
Te 0.0000 0.5000 0.0000  2 Os 2.63
Te 0.0000 0.0000 0.5000  2 Os 2.63
Te 0.5000 0.0000 0.0000  2 Os 2.63
Os 0.0000 0.0000 0.0000  6 Te 2.63

DFT (PBE) results for a relaxed Cs6HgO crystal.

Summary:
ΔE_f (raw) in meV per atom: -416
Energy in eV per cell: -13.709
N(E_F) in states/eV/cell: 6.53
Space group: C2/m (12)

Lattice parameters (Å, degrees): 8.3364 9.5104 8.6204 56.52 81.24 73.97
Closest atoms and distances in Å follow each position.
Sites, in units of the cell vectors:
Cs 0.7438 0.5017 0.7082  1 O 2.98
Cs 0.7438 0.2099 0.2918  1 O 2.98
Cs 0.2562 0.7901 0.7082  1 O 2.98
Cs 0.2562 0.4983 0.2918  1 O 2.98
Cs 0.6393 0.7523 0.0000  1 O 2.94
Cs 0.3607 0.2477 0.0000  1 O 2.94
Hg 0.0000 0.0000 0.0000  6 Cs 4.05-4.30
O 0.5000 0.5000 0.0000  6 Cs 2.94-2.98

DFT (PBE) results for a relaxed SrZr2Te crystal.

Summary:
ΔE_f (raw) in meV per atom: -64
Energy in eV per cell: -22.175
N(E_F) in states/eV/cell: 3.71
Space group: P4/mmm (123)

Lattice parameters (Å, degrees): 3.7911 3.7911 7.6578 90.00 90.00 90.02
Closest atoms and distances in Å follow each position.
Sites, in units of the cell vectors:
Sr 0.5000 0.5000 0.2500  8 Zr 3.59-3.60, 4 Sr 3.79, 2 Te 3.83
Te 0.5000 0.5000 0.7500  8 Zr 3.04
Zr 0.0000 0.0000 0.9372  1 Zr 2.87, 4 Te 3.04
Zr 0.0000 0.0000 0.5628  1 Zr 2.87, 4 Te 3.04

DFT (PBE) results for a relaxed Pm2PRh crystal.

Summary:
Energy in eV per cell: -26.039
N(E_F) in states/eV/cell: 0.25
Calculated formation energy in eV/atom: -0.9440
Space group: R-3m (166)

Lattice parameters (Å, degrees): 4.0901 4.0901 7.2644 73.65 73.65 60.00
Closest atoms and distances in Å follow each position.
Sites, in units of the cell vectors:
P 0.5000 0.5000 0.5000  6 Pm 2.92
Rh 0.0000 0.0000 0.0000  6 Pm 2.92
Pm 0.7502 0.7502 0.7493  3 P 2.92, 3 Rh 2.92
Pm 0.2498 0.2498 0.2507  3 P 2.92, 3 Rh 2.92

> Among the records above, which one has the lowest N(E_F)?

TbTl3Sb2O6